#i
DFT (PBE) results for crystalline Pm3MgTc at its relaxed geometry.

The structure in CIF format:
```
data_Pm3MgTc
_chemical_formula_sum 'Pm12 Mg4 Tc4'
_cell_length_a 9.4323
_cell_length_b 6.5633
_cell_length_c 10.7592
_cell_angle_alpha 90.00
_cell_angle_beta 118.64
_cell_angle_gamma 90.00
_symmetry_space_group_name_H-M 'P 1 21/c 1'
_symmetry_Int_Tables_number 14
loop_
_symmetry_equiv_pos_as_xyz
'x,y,z'
'-x,-y,-z'
'-x,y+1/2,-z+1/2'
'x,-y+1/2,z+1/2'
loop_
_atom_site_label
_atom_site_fract_x
_atom_site_fract_y
_atom_site_fract_z
_atom_site_occupancy
Pm1 0.1151 0.0279 0.3048 1
Pm2 0.2267 0.5129 0.5408 1
Pm3 0.3223 0.0092 0.7025 1
Mg1 0.4929 0.7182 0.9891 1
Tc1 0.0214 0.1807 0.5265 1
```

## Properties
ρ = 6332 kg/m³
magnetization = 0.00 μB per cell

#ii
DFT (PBE) results for crystalline Pm3MgTc at its relaxed geometry.

The structure in CIF format:
```
data_Pm3MgTc
_chemical_formula_sum 'Pm3 Mg1 Tc1'
_cell_length_a 5.4325
_cell_length_b 5.4325
_cell_length_c 5.4325
_cell_angle_alpha 90.00
_cell_angle_beta 90.00
_cell_angle_gamma 90.00
_symmetry_space_group_name_H-M 'P m -3 m'
_symmetry_Int_Tables_number 221
_symmetry_space_group_name_Hall '-P 4 2 3'
loop_
_atom_site_label
_atom_site_fract_x
_atom_site_fract_y
_atom_site_fract_z
_atom_site_occupancy
Pm1 0.0000 0.0000 0.5000 1
Mg1 0.5000 0.5000 0.5000 1
Tc1 0.0000 0.0000 0.0000 1
```

## Properties
ρ = 5772 kg/m³
magnetization = 0.00 μB per cell

Which of them is most stable, and which least? Most stable: #i; least stable: #ii.

#i
DFT (PBE) results for crystalline PmMgTe at its relaxed geometry.

The structure in CIF format:
```
data_PmMgTe
_chemical_formula_sum 'Pm1 Mg1 Te1'
_cell_length_a 4.9535
_cell_length_b 4.9535
_cell_length_c 3.9129
_cell_angle_alpha 90.00
_cell_angle_beta 90.00
_cell_angle_gamma 120.00
_symmetry_space_group_name_H-M 'P -6 m 2'
_symmetry_Int_Tables_number 187
_symmetry_space_group_name_Hall 'P -6 2'
loop_
_atom_site_label
_atom_site_fract_x
_atom_site_fract_y
_atom_site_fract_z
_atom_site_occupancy
Pm1 0.0000 0.0000 0.0000 1
Mg1 0.3333 0.6667 0.5000 1
Te1 0.6667 0.3333 0.5000 1
```

## Properties
ρ = 5929 kg/m³
magnetization = 0.00 μB per cell

#ii
DFT (PBE) results for crystalline PmMgTe at its relaxed geometry.

The structure in CIF format:
```
data_PmMgTe
_chemical_formula_sum 'Pm4 Mg4 Te4'
_cell_length_a 4.1742
_cell_length_b 14.5666
_cell_length_c 5.9456
_cell_angle_alpha 90.00
_cell_angle_beta 90.00
_cell_angle_gamma 90.00
_symmetry_space_group_name_H-M 'C m c m'
_symmetry_Int_Tables_number 63
_symmetry_space_group_name_Hall '-C 2c 2'
loop_
_atom_site_label
_atom_site_fract_x
_atom_site_fract_y
_atom_site_fract_z
_atom_site_occupancy
Pm1 0.0000 0.1318 0.2500 1
Mg1 0.0000 0.4490 0.2500 1
Te1 0.0000 0.1976 0.7500 1
```

## Properties
ρ = 5455 kg/m³
magnetization = 0.00 μB per cell

Which of them is most stable, and which least? Most stable: #ii; least stable: #i.

#i
DFT (PBE) results for crystalline Pm4MgTe5 at its relaxed geometry.

The structure in CIF format:
```
data_Pm4MgTe5
_chemical_formula_sum 'Pm8 Mg2 Te10'
_cell_length_a 9.9093
_cell_length_b 9.9093
_cell_length_c 6.2632
_cell_angle_alpha 90.00
_cell_angle_beta 90.00
_cell_angle_gamma 90.00
_symmetry_space_group_name_H-M 'I 4'
_symmetry_Int_Tables_number 79
loop_
_symmetry_equiv_pos_as_xyz
'x,y,z'
'-y,x,z'
'-x,-y,z'
'y,-x,z'
'x+1/2,y+1/2,z+1/2'
'-y+1/2,x+1/2,z+1/2'
'-x+1/2,-y+1/2,z+1/2'
'y+1/2,-x+1/2,z+1/2'
loop_
_atom_site_label
_atom_site_fract_x
_atom_site_fract_y
_atom_site_fract_z
_atom_site_occupancy
Pm1 0.0918 0.6903 0.0000 1
Mg1 0.0000 0.0000 0.5175 1
Te1 0.0000 0.0000 0.0060 1
Te2 0.0990 0.7199 0.4997 1
```

## Properties
ρ = 6708 kg/m³
magnetization = 0.00 μB per cell

#ii
DFT (PBE) results for crystalline Pm4MgTe5 at its relaxed geometry.

The structure in CIF format:
```
data_Pm4MgTe5
_chemical_formula_sum 'Pm12 Mg3 Te15'
_cell_length_a 4.3707
_cell_length_b 4.3707
_cell_length_c 55.7864
_cell_angle_alpha 90.00
_cell_angle_beta 90.00
_cell_angle_gamma 120.00
_symmetry_space_group_name_H-M 'R -3 m'
_symmetry_Int_Tables_number 166
_symmetry_space_group_name_Hall '-R 3 2"'
loop_
_atom_site_label
_atom_site_fract_x
_atom_site_fract_y
_atom_site_fract_z
_atom_site_occupancy
Pm1 0.0000 0.0000 0.0996 1
Pm2 0.0000 0.0000 0.2982 1
Mg1 0.0000 0.0000 0.5000 1
Te1 0.0000 0.0000 0.0000 1
Te2 0.0000 0.0000 0.1969 1
Te3 0.0000 0.0000 0.4009 1
```

## Properties
ρ = 6706 kg/m³
magnetization = 0.00 μB per cell

Which of them is most stable, and which least? Most stable: #ii; least stable: #i.

#i
DFT (PBE) results for crystalline PmTh2Mg at its relaxed geometry.

The structure in CIF format:
```
data_PmTh2Mg
_chemical_formula_sum 'Pm3 Th6 Mg3'
_cell_length_a 3.4619
_cell_length_b 3.4619
_cell_length_c 35.8088
_cell_angle_alpha 90.00
_cell_angle_beta 90.00
_cell_angle_gamma 120.00
_symmetry_space_group_name_H-M 'R 3 m'
_symmetry_Int_Tables_number 160
_symmetry_space_group_name_Hall 'R 3 -2"'
loop_
_atom_site_label
_atom_site_fract_x
_atom_site_fract_y
_atom_site_fract_z
_atom_site_occupancy
Pm1 0.0000 0.0000 0.0000 1
Th1 0.0000 0.0000 0.4197 1
Th2 0.0000 0.0000 0.5816 1
Mg1 0.0000 0.0000 0.8341 1
```

## Properties
ρ = 8489 kg/m³
magnetization = 0.00 μB per cell

#ii
DFT (PBE) results for crystalline PmTh2Mg at its relaxed geometry.

The structure in CIF format:
```
data_PmTh2Mg
_chemical_formula_sum 'Pm4 Th8 Mg4'
_cell_length_a 7.8938
_cell_length_b 7.8938
_cell_length_c 7.8938
_cell_angle_alpha 90.00
_cell_angle_beta 90.00
_cell_angle_gamma 90.00
_symmetry_space_group_name_H-M 'F m -3 m'
_symmetry_Int_Tables_number 225
_symmetry_space_group_name_Hall '-F 4 2 3'
loop_
_atom_site_label
_atom_site_fract_x
_atom_site_fract_y
_atom_site_fract_z
_atom_site_occupancy
Pm1 0.0000 0.0000 0.0000 1
Th1 0.2500 0.2500 0.2500 1
Mg1 0.0000 0.0000 0.5000 1
```

## Properties
ρ = 8553 kg/m³
magnetization = 0.00 μB per cell

#iii
DFT (PBE) results for crystalline PmTh2Mg at its relaxed geometry.

The structure in CIF format:
```
data_PmTh2Mg
_chemical_formula_sum 'Pm1 Th2 Mg1'
_cell_length_a 4.9224
_cell_length_b 4.9224
_cell_length_c 5.0757
_cell_angle_alpha 90.00
_cell_angle_beta 90.00
_cell_angle_gamma 90.00
_symmetry_space_group_name_H-M 'P 4/m m m'
_symmetry_Int_Tables_number 123
_symmetry_space_group_name_Hall '-P 4 2'
loop_
_atom_site_label
_atom_site_fract_x
_atom_site_fract_y
_atom_site_fract_z
_atom_site_occupancy
Pm1 0.0000 0.0000 0.0000 1
Th1 0.0000 0.5000 0.5000 1
Mg1 0.5000 0.5000 0.0000 1
```

## Properties
ρ = 8552 kg/m³
magnetization = 0.00 μB per cell

Which of them is most stable, and which least? Most stable: #iii; least stable: #ii.

#i
DFT (PBE) results for crystalline Pm2ThMg at its relaxed geometry.

The structure in CIF format:
```
data_Pm2ThMg
_chemical_formula_sum 'Pm2 Th1 Mg1'
_cell_length_a 4.9849
_cell_length_b 4.9849
_cell_length_c 4.9860
_cell_angle_alpha 90.00
_cell_angle_beta 90.00
_cell_angle_gamma 90.00
_symmetry_space_group_name_H-M 'P 4/m m m'
_symmetry_Int_Tables_number 123
_symmetry_space_group_name_Hall '-P 4 2'
loop_
_atom_site_label
_atom_site_fract_x
_atom_site_fract_y
_atom_site_fract_z
_atom_site_occupancy
Pm1 0.0000 0.5000 0.0000 1
Th1 0.0000 0.0000 0.5000 1
Mg1 0.5000 0.5000 0.5000 1
```

## Properties
ρ = 7323 kg/m³
magnetization = 0.00 μB per cell

#ii
DFT (PBE) results for crystalline Pm2ThMg at its relaxed geometry.

The structure in CIF format:
```
data_Pm2ThMg
_chemical_formula_sum 'Pm6 Th3 Mg3'
_cell_length_a 3.5332
_cell_length_b 3.5332
_cell_length_c 37.0976
_cell_angle_alpha 90.00
_cell_angle_beta 90.00
_cell_angle_gamma 120.00
_symmetry_space_group_name_H-M 'R -3 m'
_symmetry_Int_Tables_number 166
_symmetry_space_group_name_Hall '-R 3 2"'
loop_
_atom_site_label
_atom_site_fract_x
_atom_site_fract_y
_atom_site_fract_z
_atom_site_occupancy
Pm1 0.0000 0.0000 0.0898 1
Th1 0.0000 0.0000 0.5000 1
Mg1 0.0000 0.0000 0.0000 1
```

## Properties
ρ = 6786 kg/m³
magnetization = 0.00 μB per cell

#iii
DFT (PBE) results for crystalline Pm2ThMg at its relaxed geometry.

The structure in CIF format:
```
data_Pm2ThMg
_chemical_formula_sum 'Pm8 Th4 Mg4'
_cell_length_a 7.9348
_cell_length_b 7.9348
_cell_length_c 7.9348
_cell_angle_alpha 90.00
_cell_angle_beta 90.00
_cell_angle_gamma 90.00
_symmetry_space_group_name_H-M 'F m -3 m'
_symmetry_Int_Tables_number 225
_symmetry_space_group_name_Hall '-F 4 2 3'
loop_
_atom_site_label
_atom_site_fract_x
_atom_site_fract_y
_atom_site_fract_z
_atom_site_occupancy
Pm1 0.2500 0.2500 0.2500 1
Th1 0.0000 0.0000 0.0000 1
Mg1 0.0000 0.0000 0.5000 1
```

## Properties
ρ = 7264 kg/m³
magnetization = 0.00 μB per cell

#iv
DFT (PBE) results for crystalline Pm2ThMg at its relaxed geometry.

The structure in CIF format:
```
data_Pm2ThMg
_chemical_formula_sum 'Pm4 Th2 Mg2'
_cell_length_a 6.2060
_cell_length_b 3.5790
_cell_length_c 11.6202
_cell_angle_alpha 90.00
_cell_angle_beta 100.35
_cell_angle_gamma 90.00
_symmetry_space_group_name_H-M 'C 1 m 1'
_symmetry_Int_Tables_number 8
loop_
_symmetry_equiv_pos_as_xyz
'x,y,z'
'x,-y,z'
'x+1/2,y+1/2,z'
'x+1/2,-y+1/2,z'
loop_
_atom_site_label
_atom_site_fract_x
_atom_site_fract_y
_atom_site_fract_z
_atom_site_occupancy
Pm1 0.0000 0.0000 0.0000 1
Pm2 0.1675 0.0000 0.5008 1
Th1 0.0836 0.5000 0.7497 1
Mg1 0.2508 0.5000 0.2506 1
```

## Properties
ρ = 7146 kg/m³
magnetization = 0.00 μB per cell

Which of them is most stable, and which least? Most stable: #iv; least stable: #ii.